AcNiPt3 PBE-GGA optimized geometry; DOS(E_F) = 8.0 states/eV/cell; calculated total energy = -6.260 eV per atom; V = 20.7 A^3/atom; ΔH_f (0 K) = -0.658 eV per atom
1.0
1.6231 5.0392 -1.1888
5.5216 -3.1375 -5.7602
-6.7019 -0.6848 0.3297
Ac Ni Pt
2 2 6
direct
0.2500 0.2912 0.5000
0.7500 0.7088 0.5000
0.0000 0.5000 0.0000
0.5000 0.0000 0.0000
0.7435 0.2435 0.9870
0.2435 0.2435 0.9870
0.7565 0.7565 0.0130
0.2565 0.7565 0.0130
0.2500 0.8929 0.5000
0.7500 0.1071 0.5000